Entry from the Alexandria database: crystalline NaMnPdF6 at its relaxed geometry (PBE with a Hubbard U).

Geometry as POSCAR:
```
NaMnPdF6
1.0
4.971 0.000 0.000
0.000 4.971 0.000
0.000 0.000 10.019
Na Mn Pd F
2 2 2 12
Cartesian
2.485 2.485 5.004 Na
0.000 0.000 10.013 Na
2.485 2.485 8.345 Mn
0.000 0.000 3.335 Mn
2.485 2.485 1.683 Pd
0.000 0.000 6.692 Pd
0.910 4.060 5.004 F
4.060 0.910 5.004 F
1.575 1.575 10.013 F
3.395 3.395 10.013 F
1.030 3.940 1.800 F
3.940 1.030 1.800 F
1.455 1.455 6.809 F
3.516 3.516 6.809 F
3.931 1.039 8.224 F
1.039 3.931 8.224 F
3.525 3.525 3.214 F
1.446 1.446 3.214 F
```

Computed properties:
DFT total energy (eV/atom): -4.886
ρ (kg/m3): 4003
Size of the total moment (μB per atom): 0.6667